# 1
## SmCo3P2 (meta-GGA SCAN)

Data for a crystal of SmCo3P2 relaxed with PBEsol.

Cell and atoms, written as POSCAR:
```
SmCo3P2
1.0
-2.4017 -2.7833 -0.2364
5.3306 -3.9120 -8.0966
6.8099 -6.5248 7.6360
Sm Co P
6 18 12
Cartesian
6.2178 -5.3597 -0.0649
2.0566 -4.5127 3.5344
4.5568 -5.9314 -5.1625
1.1757 -3.4501 -0.0269
9.0481 -7.8530 0.5353
7.0987 -6.4224 3.4963
2.5371 -4.3754 -2.9637
5.7372 -5.4970 6.4332
6.2589 -7.9413 1.2095
2.0155 -1.9311 2.2600
9.3833 -8.3927 3.4846
-1.1090 -1.4797 -0.0152
7.3579 -9.1934 4.7844
9.1325 -10.4957 2.0891
0.9164 -0.6791 -1.3150
4.4724 -3.2888 -6.7163
3.3146 -5.3622 0.7549
5.4711 -6.9448 -2.5206
4.9597 -4.5103 2.7146
8.1338 -6.8397 -2.1065
8.3342 -9.4743 -1.8250
4.2727 -6.4937 4.3439
5.2708 -4.3101 -2.8022
4.0016 -3.3787 -0.8745
7.4912 -9.1221 2.5913
0.7831 -0.7503 0.8781
3.7860 -5.5720 -1.5633
4.4883 -4.3004 5.0327
4.6264 -6.6069 2.0838
6.6753 -8.1106 -1.0283
3.6480 -3.2655 1.3857
6.9296 -5.6738 -3.5988
9.4135 -10.5474 -0.1572
5.6987 -7.8212 5.4853
4.1914 -3.2371 -4.4700
2.5757 -2.0513 -2.0158
```

The space-group type is Pmmn, No. 59. The size of the total moment is 1.0 μB/f.u. Its calculated total energy is -20.37 eV per atom.

***

# 2
## ZrReSi2 (meta-GGA SCAN)

Data for a crystal of ZrReSi2 relaxed with PBEsol.

Cell and atoms, written as POSCAR:
```
ZrReSi2
1.0
8.0475 0.0000 0.0000
0.0000 9.1639 0.0000
0.0000 0.0000 10.0419
Re Si Zr
12 24 12
Cartesian
2.0103 0.7811 2.5952
2.0103 8.3827 7.4467
6.0373 5.3630 2.4258
6.0373 3.8008 7.6161
6.0373 8.3827 7.4467
6.0373 0.7811 2.5952
2.0103 3.8008 7.6161
2.0103 5.3630 2.4258
1.9739 0.0000 0.0000
6.0736 4.5819 5.0210
6.0736 0.0000 0.0000
1.9739 4.5819 5.0210
0.0000 3.3888 6.0393
0.0000 5.7750 4.0026
0.0000 7.9708 9.0235
0.0000 1.1931 1.0184
0.0000 4.2670 8.8825
0.0000 4.8969 1.1594
0.0000 8.8489 6.1804
0.0000 0.3150 3.8615
4.0238 3.4377 5.9844
4.0238 5.7262 4.0575
4.0238 8.0196 9.0785
4.0238 1.1442 0.9635
4.0238 4.2593 8.8769
4.0238 4.9046 1.1650
4.0238 8.8412 6.1859
4.0238 0.3227 3.8560
2.8471 7.6341 1.8162
2.8471 3.0522 3.2048
5.2005 3.0522 3.2048
5.2005 6.1116 6.8371
5.2005 1.5297 8.2257
5.2005 7.6341 1.8162
2.8471 6.1116 6.8371
2.8471 1.5297 8.2257
0.0000 1.5644 8.2362
1.9836 6.1759 9.5606
6.0639 7.5699 4.5396
6.0639 1.5940 5.5023
6.0639 6.1759 9.5606
6.0639 2.9880 0.4813
1.9836 1.5940 5.5023
1.9836 7.5699 4.5396
0.0000 3.0175 3.2153
0.0000 6.1464 6.8266
0.0000 7.5994 1.8057
1.9836 2.9880 0.4813
```

The space-group type is Pbam, No. 55. The size of the total moment is 0.0 μB/f.u. Its uncorrected formation energy is -2.71 eV/f.u. Its calculated total energy is -31.13 eV per atom.

***

# 3
## Ce2ZrO6 (meta-GGA SCAN)

Data for a crystal of Ce2ZrO6 relaxed with PBEsol.

Cell and atoms, written as POSCAR:
```
Ce2ZrO6
1.0
-3.4238 1.4710 -0.4383
-2.0324 -4.8617 -0.4406
1.9451 1.5213 5.9716
Ce Zr O
2 1 6
Cartesian
-2.9857 -1.7526 1.3804
-0.5254 -0.1168 3.7123
0.0000 0.0000 0.0000
-2.7656 -0.6306 3.4269
-2.1904 -0.4092 -0.3229
-1.7888 -3.7345 1.4397
-3.2658 -2.9815 -0.5560
-0.7455 -1.2388 1.6658
-1.7223 1.8651 3.6531
```

The space-group type is Immm, No. 71. The size of the total moment is 0.0 μB/f.u. The polymorph energy (0 for the lowest one) comes out at 0.0061 eV per atom. Its uncorrected formation energy is -33.59 eV/f.u. Its calculated total energy is -21.20 eV per atom.

***

# 4
## MnHg2Se (meta-GGA SCAN)

Data for a crystal of MnHg2Se relaxed with PBEsol.

Cell and atoms, written as POSCAR:
```
MnHg2Se
1.0
-3.2960 -0.9653 -0.4817
0.5305 -0.0294 -3.5715
1.6108 -6.5436 2.0920
Hg Mn Se
2 1 1
Cartesian
0.4986 -0.0307 -3.3502
-0.9427 -2.1507 -1.7240
1.3443 -3.9004 -1.3817
-0.4536 -4.7725 0.1835
```

The space-group type is Pm, No. 6. The size of the total moment is 4.6 μB/f.u. Its uncorrected formation energy is -0.97 eV/f.u. Its calculated total energy is -43.91 eV per atom.

***

# 5
## Sc2AlRh (meta-GGA SCAN)

Data for a crystal of Sc2AlRh relaxed with PBEsol.

Cell and atoms, written as POSCAR:
```
Sc2AlRh
1.0
4.5481 0.0000 0.0000
2.2741 3.9388 0.0000
2.2741 1.3129 3.7135
Sc Rh Al
2 1 1
Cartesian
0.0000 0.0000 0.0000
2.2741 1.3129 0.9284
6.8222 3.9388 2.7851
4.5481 2.6259 1.8568
```

The space-group type is F-43m, No. 216. The size of the total moment is 0.0 μB/f.u. Its calculated total energy is -18.27 eV per atom.

***

# 6
## CdAu (meta-GGA SCAN)

Data for a crystal of CdAu relaxed with PBEsol.

Cell and atoms, written as POSCAR:
```
CdAu
1.0
5.3007 0.0000 0.0000
0.0000 5.3007 0.0000
0.0000 0.0000 5.3007
Au Cd
4 4
Cartesian
2.1314 2.1314 2.1314
0.5190 3.1693 4.7817
3.1693 4.7817 0.5190
4.7817 0.5190 3.1693
0.5066 0.5066 0.5066
2.1438 4.7941 3.1569
4.7941 3.1569 2.1438
3.1569 2.1438 4.7941
```

The space-group type is P2_13, No. 198. The size of the total moment is 0.0 μB/f.u. Its calculated total energy is -49.99 eV per atom.

***

# 7
## SrNi2Rh (meta-GGA SCAN)

Data for a crystal of SrNi2Rh relaxed with PBEsol.

Cell and atoms, written as POSCAR:
```
SrNi2Rh
1.0
4.4495 0.0000 0.0000
2.2247 3.8534 0.0000
2.2247 1.2845 3.6330
Ni Rh Sr
2 1 1
Cartesian
6.6742 3.8534 2.7247
2.2247 1.2845 0.9082
0.0000 0.0000 0.0000
4.4495 2.5689 1.8165
```

The space-group type is Fm-3m, No. 225. The size of the total moment is 0.9 μB/f.u. The polymorph energy (0 for the lowest one) comes out at 0.5756 eV per atom. Its calculated total energy is -21.62 eV per atom.

***

# 8
## SrNiOs (meta-GGA SCAN)

Data for a crystal of SrNiOs relaxed with PBEsol.

Cell and atoms, written as POSCAR:
```
SrNiOs
1.0
-0.3908 -1.7710 -2.2236
0.2527 -1.0627 2.6534
-7.0759 0.4760 0.8644
Ni Os Sr
1 1 1
Cartesian
-6.8293 0.4594 0.8343
-4.9532 -0.9630 1.6375
-2.5073 -1.3781 -0.3132
```

The space-group type is P3m1, No. 156. The size of the total moment is 0.0 μB/f.u. The polymorph energy (0 for the lowest one) comes out at 0.0000 eV per atom. Its calculated total energy is -35.65 eV per atom.

***

# 9
## Li2CdOs (meta-GGA SCAN)

Data for a crystal of Li2CdOs relaxed with PBEsol.

Cell and atoms, written as POSCAR:
```
Li2CdOs
1.0
3.8155 0.0000 0.0000
0.0000 3.8738 0.0000
0.0000 0.0000 3.8738
Cd Li Os
1 2 1
Cartesian
1.9078 0.0000 0.0000
0.0000 0.0000 1.9369
0.0000 1.9369 0.0000
1.9078 1.9369 1.9369
```

The space-group type is P4/mmm, No. 123. The size of the total moment is 0.2 μB/f.u. Its calculated total energy is -26.44 eV per atom.

***

# 10
## CoAs2F2 (meta-GGA SCAN)

Data for a crystal of CoAs2F2 relaxed with PBEsol.

Cell and atoms, written as POSCAR:
```
CoAs2F2
1.0
3.1805 0.0000 0.0000
0.0000 3.1805 0.0000
-1.5902 -1.5902 6.1010
As Co F
2 1 2
Cartesian
0.0000 0.0000 4.7213
1.5902 1.5902 1.3797
0.0000 0.0000 0.0000
0.0000 1.5902 3.0505
1.5902 0.0000 3.0505
```

The space-group type is I4/mmm, No. 139. The size of the total moment is 1.0 μB/f.u. The polymorph energy (0 for the lowest one) comes out at 0.6058 eV per atom. Its uncorrected formation energy is -1.77 eV/f.u. Its calculated total energy is -13.31 eV per atom.

***

# 11
## Al3Sb (meta-GGA SCAN)

Data for a crystal of Al3Sb relaxed with PBEsol.

Cell and atoms, written as POSCAR:
```
Al3Sb
1.0
-0.0454 2.1412 2.3104
-4.9171 0.0114 -0.1071
-0.0828 -3.6824 3.4111
Sb Al
1 3
Cartesian
-2.4855 -1.1923 1.0562
-0.0819 -3.6429 3.3745
-0.0660 -0.8556 2.9395
-2.5499 -1.9764 3.9295
```

The space-group type is Pmm2, No. 25. The size of the total moment is 0.0 μB/f.u. Its uncorrected formation energy is 0.77 eV/f.u. Its calculated total energy is -14.94 eV per atom.

***

# 12
## LiInCu2 (meta-GGA SCAN)

Data for a crystal of LiInCu2 relaxed with PBEsol.

Cell and atoms, written as POSCAR:
```
LiInCu2
1.0
4.2729 0.0000 0.0000
2.1364 3.7004 0.0000
2.1364 1.2335 3.4888
Li Cu In
1 2 1
Cartesian
6.4093 3.7004 2.6166
0.0000 0.0000 0.0000
2.1364 1.2335 0.8722
4.2729 2.4670 1.7444
```

The space-group type is F-43m, No. 216. The size of the total moment is 0.0 μB/f.u. Its calculated total energy is -16.66 eV per atom.

***

# 13
## MgIn2Ir (meta-GGA SCAN)

Data for a crystal of MgIn2Ir relaxed with PBEsol.

Cell and atoms, written as POSCAR:
```
MgIn2Ir
1.0
4.1505 0.0000 0.0000
0.0000 4.1505 0.0000
-2.0752 -2.0752 4.1979
In Ir Mg
2 1 1
Cartesian
0.0000 0.0000 0.0000
0.0000 2.0752 2.0989
2.0752 2.0752 0.0000
2.0752 0.0000 2.0989
```

The space-group type is I-4m2, No. 119. The size of the total moment is 0.0 μB/f.u. Its calculated total energy is -35.89 eV per atom.

***

# 14
## TaCr2As (meta-GGA SCAN)

Data for a crystal of TaCr2As relaxed with PBEsol.

Cell and atoms, written as POSCAR:
```
TaCr2As
1.0
3.2354 0.0000 0.0000
0.0000 4.1882 0.0000
-1.6177 -2.0941 4.0027
As Cr Ta
1 2 1
Cartesian
0.0000 2.0941 0.0000
1.6177 2.0941 1.9859
0.0000 0.0000 2.0168
1.6177 0.0000 0.0000
```

The space-group type is Immm, No. 71. The size of the total moment is 0.0 μB/f.u. Its calculated total energy is -30.78 eV per atom.

***

# 15
## TcSeI2N (meta-GGA SCAN)

Data for a crystal of TcSeI2N relaxed with PBEsol.

Cell and atoms, written as POSCAR:
```
TcSeI2N
1.0
-0.4715 0.4568 3.5768
2.7610 -5.0276 1.0060
5.0714 2.8461 0.3051
I Tc Se N
2 1 1 1
Cartesian
2.5357 1.4230 0.1525
1.3805 -2.5138 0.5030
3.6804 -0.8624 2.4439
0.0000 0.0000 0.0000
-0.2358 0.2284 1.7884
```

The space-group type is P4/mmm, No. 123. The size of the total moment is 4.4 μB/f.u. Its uncorrected formation energy is 6.78 eV/f.u. Its calculated total energy is -26.23 eV per atom.

***

# 16
## K3TiO (meta-GGA SCAN)

Data for a crystal of K3TiO relaxed with PBEsol.

Cell and atoms, written as POSCAR:
```
K3TiO
1.0
5.4114 0.0000 0.0000
0.0000 5.4114 0.0000
0.0000 0.0000 5.4114
K O Ti
3 1 1
Cartesian
0.0000 2.7057 0.0000
0.0000 0.0000 2.7057
2.7057 0.0000 0.0000
0.0000 0.0000 0.0000
2.7057 2.7057 2.7057
```

The space-group type is Pm-3m, No. 221. The size of the total moment is 3.0 μB/f.u. Its uncorrected formation energy is 0.45 eV/f.u. Its calculated total energy is -9.36 eV per atom.

***

# 17
## TaPt4 (meta-GGA SCAN)

Data for a crystal of TaPt4 relaxed with PBEsol.

Cell and atoms, written as POSCAR:
```
TaPt4
1.0
-3.4002 2.0030 3.0657
-1.8018 -0.0815 -4.6603
1.0266 -4.6642 1.4708
Pt Ta
4 1
Cartesian
0.5133 -2.3321 0.7354
-0.9009 -0.0407 -2.3302
-1.7001 1.0015 1.5329
-2.0877 -1.3714 -0.0619
0.0000 0.0000 0.0000
```

The space-group type is Im-3m, No. 229. The size of the total moment is 0.0 μB/f.u. The polymorph energy (0 for the lowest one) comes out at 0.7431 eV per atom. Its calculated total energy is -69.34 eV per atom.

***

# 18
## AgPBr (meta-GGA SCAN)

Data for a crystal of AgPBr relaxed with PBEsol.

Cell and atoms, written as POSCAR:
```
AgPBr
1.0
3.6708 0.0000 0.0000
-1.8354 3.1790 0.0000
0.0000 0.0000 5.1927
P Br Ag
1 1 1
Cartesian
1.8354 1.0597 1.4719
0.0000 2.1193 3.5397
0.0000 0.0000 0.1811
```

The space-group type is P3m1, No. 156. The size of the total moment is 0.0 μB/f.u. The polymorph energy (0 for the lowest one) comes out at 0.2538 eV per atom. Its uncorrected formation energy is 1.13 eV/f.u. Its calculated total energy is -20.03 eV per atom.

***

# 19
## Tb2Pt2O7 (meta-GGA SCAN)

Data for a crystal of Tb2Pt2O7 relaxed with PBEsol.

Cell and atoms, written as POSCAR:
```
Tb2Pt2O7
1.0
7.1918 0.0000 0.0000
3.5959 6.2283 0.0000
3.5959 2.0761 5.8721
Tb Pt O
4 4 14
Cartesian
3.5959 4.1522 0.7340
5.3938 1.0380 0.7340
3.5959 2.0761 3.6700
1.7979 1.0380 0.7340
5.3938 5.1902 3.6700
8.9897 5.1902 3.6700
7.1918 4.1522 0.7340
7.1918 2.0761 3.6700
10.7877 8.0155 5.6678
8.7395 5.0458 1.6723
7.1918 5.9394 4.1998
9.2399 7.1219 3.1403
12.3354 5.3347 5.6678
3.5959 2.0761 1.4680
12.3354 7.1219 3.1403
5.6440 5.0458 1.6723
5.6440 3.2586 4.1998
0.0000 0.0000 0.0000
8.7395 3.2586 4.1998
10.7877 4.4411 3.1403
9.2399 5.3347 5.6678
7.1918 2.3650 1.6723
```

The space-group type is Fd-3m, No. 227. The size of the total moment is 0.0 μB/f.u. Its uncorrected formation energy is -25.25 eV/f.u. Its calculated total energy is -27.53 eV per atom.

***

# 20
## ScCuPt2 (meta-GGA SCAN)

Data for a crystal of ScCuPt2 relaxed with PBEsol.

Cell and atoms, written as POSCAR:
```
ScCuPt2
1.0
-1.4867 -2.2884 2.6751
3.4386 -1.5664 0.5711
-0.1684 4.7413 1.2329
Sc Pt Cu
1 2 1
Cartesian
0.9759 -1.9274 1.6231
0.0000 0.0000 0.0000
2.1230 0.6237 1.7135
-0.3396 0.2627 2.7655
```

The space-group type is I-4m2, No. 119. The size of the total moment is 0.0 μB/f.u. Its calculated total energy is -43.37 eV per atom.